First-principles (GGA-PBE) data for a relaxed BeCoMo2 crystal, as listed in Alexandria via LeMat-Bulk.

```
BeCoMo2
1.0
2.667 0.000 0.000
0.000 2.667 0.000
0.000 0.000 7.083
Be Co Mo
1 1 2
Direct
0.000 0.000 0.000 Be
0.000 0.000 0.500 Co
0.500 0.500 0.241 Mo
0.500 0.500 0.759 Mo
```

Summary:
Uncorrected energy ... -0.297 hartree per atom
Formation energy ... 0.03 eV per atom
Fermi-level density of states ... 1.6 states/eV/cell

=====

First-principles (GGA-PBE) data for a relaxed BeCoMo crystal, as listed in Alexandria via LeMat-Bulk.

```
BeCoMo
1.0
0.000 2.750 2.750
2.750 0.000 2.750
2.750 2.750 0.000
Be Co Mo
1 1 1
Direct
0.000 0.000 0.000 Be
0.500 0.500 0.500 Co
0.750 0.750 0.750 Mo
```

Summary:
Relative energy among the computed polymorphs ... 2.65 eV/f.u.
Uncorrected energy ... -0.239 hartree per atom
Formation energy ... 0.73 eV per atom
Fermi-level density of states ... 3.6 states/eV/cell

=====

Fermi-level density of states of number 1 (BeCoMo2)? 1.6 states/eV/cell